1.
This record from Alexandria via LeMat-Bulk describes KLaBe2Zn after structural relaxation. The functional is PBEsol.

a b c (Å): 4.512 4.512 5.507
angles (deg): 90.00 90.00 90.00
Positions (direct):
1 Be 0.000 0.500 0.000
2 Be 0.500 0.000 0.000
3 Zn 0.000 0.000 0.000
4 K 0.500 0.500 0.500
5 La 0.000 0.000 0.500

Computed properties:
The energy relative to the elements comes out at 0.728 eV per atom. Its crystal system is tetragonal. Its total DFT energy (no corrections) is -2.4848 eV/atom. The value obtained for the density of states at the Fermi level is 0.745 states/eV per atom.

2.
This record from Alexandria via LeMat-Bulk describes K2BePb after structural relaxation. The functional is PBEsol.

a b c (Å): 5.694 5.694 5.694
angles (deg): 60.00 60.00 60.00
Positions (direct):
1 Pb 0.500 0.500 0.500
2 Be 0.000 0.000 0.000
3 K 0.250 0.250 0.250
4 K 0.750 0.750 0.750

Computed properties:
The energy relative to the elements comes out at 0.673 eV per atom. Its crystal system is cubic. Its total DFT energy (no corrections) is -1.8936 eV/atom. The value obtained for the density of states at the Fermi level is 0.960 states/eV per atom.

3.
This record from Alexandria via LeMat-Bulk describes Co2HgH2 after structural relaxation. The functional is PBEsol.

a b c (Å): 2.639 6.040 6.040
angles (deg): 90.00 90.00 90.00
Positions (direct):
1 H 0.000 0.413 0.913
2 H 0.000 0.913 0.587
3 H 0.000 0.587 0.087
4 H 0.000 0.087 0.413
5 Co 0.500 0.128 0.628
6 Co 0.500 0.628 0.872
7 Co 0.500 0.872 0.372
8 Co 0.500 0.372 0.128
9 Hg 0.000 0.000 0.000
10 Hg 0.000 0.500 0.500

Computed properties:
Its crystal system is tetragonal. Its total DFT energy (no corrections) is -4.0257 eV/atom. The value obtained for the density of states at the Fermi level is 1.081 states/eV per atom.

4.
This record from Alexandria via LeMat-Bulk describes FeOsRh2 after structural relaxation. The functional is PBEsol.

a b c (Å): 3.713 3.713 4.598
angles (deg): 113.81 113.81 90.00
Positions (direct):
1 Rh 0.750 0.250 0.500
2 Rh 0.250 0.750 0.500
3 Os 0.000 0.000 0.000
4 Fe 0.500 0.500 0.000

Computed properties:
The energy relative to the elements comes out at 0.035 eV per atom. Its crystal system is tetragonal. Its total DFT energy (no corrections) is -9.3291 eV/atom. The value obtained for the density of states at the Fermi level is 0.892 states/eV per atom.

5.
This record from Alexandria via LeMat-Bulk describes KH3N after structural relaxation. The functional is PBEsol.

a b c (Å): 3.322 3.322 3.322
angles (deg): 90.00 90.00 90.00
Positions (direct):
1 H 0.000 0.500 0.000
2 H 0.000 0.000 0.500
3 H 0.500 0.000 0.000
4 K 0.500 0.500 0.500
5 N 0.000 0.000 0.000

Computed properties:
Its crystal system is cubic. Its total DFT energy (no corrections) is -3.2545 eV/atom. The value obtained for the density of states at the Fermi level is 0.318 states/eV per atom.

6.
This record from Alexandria via LeMat-Bulk describes SrZnSCl2 after structural relaxation. The functional is PBEsol.

a b c (Å): 5.442 5.442 5.834
angles (deg): 90.00 90.00 90.00
Positions (direct):
1 Sr 0.000 0.000 0.000
2 Zn 0.500 0.500 0.500
3 S 0.000 0.000 0.500
4 Cl 0.000 0.500 0.000
5 Cl 0.500 0.000 0.000

Computed properties:
As for the uncorrected formation energy: -563 meV per atom. Its crystal system is tetragonal. Its total DFT energy (no corrections) is -2.9273 eV/atom. The value obtained for the density of states at the Fermi level is 1.210 states/eV per atom.

7.
This record from Alexandria via LeMat-Bulk describes LaIn2Au after structural relaxation. The functional is PBEsol.

a b c (Å): 4.265 4.265 6.593
angles (deg): 108.56 108.56 90.92
Positions (direct):
1 Au 0.000 0.000 0.000
2 In 0.500 0.000 0.500
3 In 0.000 0.500 0.500
4 La 0.500 0.500 0.000

Computed properties:
The energy relative to the elements comes out at -0.302 eV per atom. Its crystal system is orthorhombic. Its total DFT energy (no corrections) is -4.1110 eV/atom. The value obtained for the density of states at the Fermi level is 0.632 states/eV per atom.

8.
This record from Alexandria via LeMat-Bulk describes Mn3Cr2NiP6O24 after structural relaxation. The functional is PBEsol.

a b c (Å): 8.230 8.230 8.230
angles (deg): 61.95 61.95 61.95
Positions (direct):
1 Mn 0.142 0.142 0.142
2 Mn 0.357 0.357 0.357
3 Mn 0.643 0.643 0.643
4 Cr 0.999 0.999 0.999
5 Cr 0.499 0.499 0.499
6 Ni 0.859 0.859 0.859
7 P 0.045 0.456 0.751
8 P 0.456 0.751 0.045
9 P 0.751 0.045 0.456
10 P 0.250 0.955 0.544
11 P 0.544 0.250 0.955
12 P 0.955 0.544 0.250
13 O 0.112 0.494 0.331
14 O 0.331 0.112 0.494
15 O 0.061 0.246 0.906
16 O 0.494 0.331 0.112
17 O 0.018 0.610 0.817
18 O 0.255 0.431 0.591
19 O 0.246 0.906 0.061
20 O 0.431 0.591 0.255
21 O 0.178 0.992 0.387
22 O 0.591 0.255 0.431
23 O 0.097 0.946 0.749
24 O 0.387 0.178 0.992
25 O 0.610 0.817 0.018
26 O 0.906 0.061 0.246
27 O 0.408 0.748 0.560
28 O 0.817 0.018 0.610
29 O 0.560 0.408 0.748
30 O 0.749 0.097 0.946
31 O 0.748 0.560 0.408
32 O 0.992 0.387 0.178
33 O 0.494 0.681 0.885
34 O 0.946 0.749 0.097
35 O 0.681 0.885 0.494
36 O 0.885 0.494 0.681

Computed properties:
As for the uncorrected formation energy: -1879 meV per atom. Its crystal system is trigonal. Its total DFT energy (no corrections) is -7.8972 eV/atom. The value obtained for the density of states at the Fermi level is 0.192 states/eV per atom.

9.
This record from Alexandria via LeMat-Bulk describes Cu2TcSe after structural relaxation. The functional is PBEsol.

a b c (Å): 3.054 4.368 4.565
angles (deg): 107.93 109.54 90.00
Positions (direct):
1 Cu 0.008 0.053 0.016
2 Cu 0.755 0.191 0.510
3 Se 0.503 0.580 0.007
4 Tc 0.234 0.676 0.467

Computed properties:
As for the uncorrected formation energy: 220 meV per atom. Its crystal system is monoclinic. Its total DFT energy (no corrections) is -5.7266 eV/atom. The value obtained for the density of states at the Fermi level is 0.905 states/eV per atom.

10.
This record from Alexandria via LeMat-Bulk describes TcIrSe2F after structural relaxation. The functional is PBEsol.

a b c (Å): 4.691 4.691 4.717
angles (deg): 90.00 90.00 90.00
Positions (direct):
1 Ir 0.000 0.000 0.500
2 Tc 0.000 0.000 0.000
3 Se 0.000 0.500 0.000
4 Se 0.500 0.000 0.000
5 F 0.500 0.500 0.500

Computed properties:
As for the uncorrected formation energy: 826 meV per atom. Its crystal system is tetragonal. Its total DFT energy (no corrections) is -5.3171 eV/atom. The value obtained for the density of states at the Fermi level is 1.490 states/eV per atom.